The following is a PBE-GGA calculation of TlTeS after structural relaxation, from Alexandria.

Summary:
* total DFT energy (no corrections): -20.047 eV/cell
* E_form (uncorrected): -0.13 eV/atom

a = 5.408 Å, b = 6.091 Å, c = 6.336 Å
α = 88.70°, β = 72.26°, γ = 89.87°
Space group P-1 (No. 2)
Asymmetric unit:
Tl: 0.086 0.254 0.178
Te: 0.482 0.248 0.574
S: 0.129 0.755 0.308


The following is a PBE-GGA calculation of CaMnCrP2 after structural relaxation, from Alexandria.

Summary:
* DFT formation energy: -0.719 eV/atom
* total DFT energy (no corrections): -70.416 eV/cell

a = 3.868 Å, b = 3.868 Å, c = 10.329 Å
α = 90.00°, β = 90.00°, γ = 90.00°
Space group I-4m2 (No. 119)
Asymmetric unit:
Ca: 0.000 0.000 0.000
Mn: 0.000 0.500 0.750
Cr: 0.000 0.500 0.250
P: 0.000 0.000 0.371


The following is a PBE-GGA calculation of ScFeS2 after structural relaxation, from Alexandria.

Summary:
* energy above the lowest structure with this stoichiometry: 0 meV per atom
* total DFT energy (no corrections): -79.606 eV/cell
* E_form (uncorrected): -0.87 eV/atom

a = 3.6944 Å, b = 3.6944 Å, c = 21.8400 Å
α = 90.00°, β = 90.00°, γ = 120.00°
Space group R-3m (No. 166, hexagonal axes)
Asymmetric unit:
Sc: 0.0000 0.0000 0.0000
Fe: 0.0000 0.0000 0.5000
S: 0.0000 0.0000 0.3990